Below is TaAlZn after structural relaxation, with properties calculated at the GGA-PBEsol level.

Cell lengths 2.8815, 4.2961, 4.2961 Å; angles 120.00, 90.00, 90.00 degrees
Atoms (fractional coordinates):
Zn 0.5000 0.6667 0.3333
Al 0.5000 0.0000 0.0000
Ta 0.0000 0.3333 0.6667

Calculated values
Its crystal system is hexagonal. The symmetry is P-6m2. The formation energy is -67 meV per atom. For the raw total energy, the calculation gives -18.4 eV/cell.

***

Below is KRhSCl2 after structural relaxation, with properties calculated at the GGA-PBEsol level.

Cell lengths 4.3533, 5.0539, 5.0539 Å; angles 90.00, 90.00, 90.00 degrees
Atoms (fractional coordinates):
Cl 0.0000 0.0000 0.5000
Cl 0.0000 0.5000 0.0000
S 0.5000 0.0000 0.0000
Rh 0.0000 0.0000 0.0000
K 0.5000 0.5000 0.5000

Calculated values
As for the formation energy without anion corrections: -0.795 eV/atom. Its crystal system is tetragonal. The symmetry is P4/mmm. For the raw total energy, the calculation gives -21.6 eV/cell.

***

Below is YMn2Ru after structural relaxation, with properties calculated at the GGA-PBEsol level.

Cell lengths 3.2449, 4.5557, 5.1072 Å; angles 116.49, 108.52, 90.00 degrees
Each line ends with the local moment (μB).
Atoms (fractional coordinates):
Ru 0.4782 0.4782 0.9565  -0.06
Mn 0.0259 0.0259 0.0519  3.22
Y 0.2447 0.7447 0.4895  0.08
Mn 0.7511 0.2511 0.5021  -2.54

Calculated values
The polymorph energy (0 for the lowest one) comes out at 14.7 kJ/mol of atoms. Its crystal system is orthorhombic. The symmetry is Imm2. The formation energy is 346 meV per atom. For the raw total energy, the calculation gives -35.1 eV/cell.

***

Below is Cu3PbF after structural relaxation, with properties calculated at the GGA-PBEsol level.

Cell lengths 4.2123, 4.2123, 4.2123 Å; angles 90.00, 90.00, 90.00 degrees
Atoms (fractional coordinates):
Cu 0.5000 0.0000 0.0000
F 0.0000 0.0000 0.0000
Cu 0.0000 0.5000 0.0000
Pb 0.5000 0.5000 0.5000
Cu 0.0000 0.0000 0.5000

Calculated values
As for the formation energy without anion corrections: 0.092 eV/atom. Its crystal system is cubic. The symmetry is Pm-3m. For the raw total energy, the calculation gives -18.5 eV/cell.

***

Below is BaSr2 after structural relaxation, with properties calculated at the GGA-PBEsol level.

Cell lengths 4.2510, 6.0189, 7.3650 Å; angles 114.12, 106.77, 90.00 degrees
Atoms (fractional coordinates):
Sr 0.6679 0.6679 0.3359
Ba 0.0000 0.0000 0.0000
Sr 0.3321 0.3321 0.6641

Calculated values
The polymorph energy (0 for the lowest one) comes out at 0.4 kJ/mol of atoms. Its crystal system is orthorhombic. The symmetry is Immm. The formation energy is 8 meV per atom. For the raw total energy, the calculation gives -5.8 eV/cell.

***

Below is Ba5Pt after structural relaxation, with properties calculated at the GGA-PBEsol level.

Cell lengths 4.2499, 9.8044, 7.6027 Å; angles 79.16, 106.23, 90.00 degrees
Atoms (fractional coordinates):
Ba 0.9894 0.2277 0.9788
Pt 0.7392 0.7509 0.4783
Ba 0.6929 0.4367 0.3859
Ba 0.0795 0.8050 0.1589
Ba 0.3825 0.6097 0.7650
Ba 0.2832 0.0034 0.5664

Calculated values
Its crystal system is monoclinic. The symmetry is Cm. The formation energy is -224 meV per atom. For the raw total energy, the calculation gives -19.1 eV/cell.

***

Below is ZnCu2Ni after structural relaxation, with properties calculated at the GGA-PBEsol level.

Cell lengths 2.5857, 2.5857, 6.8543 Å; angles 90.00, 90.00, 90.00 degrees
Atoms (fractional coordinates):
Zn 0.5000 0.5000 0.5000
Cu 0.0000 0.0000 0.7599
Cu 0.0000 0.0000 0.2401
Ni 0.5000 0.5000 0.0000

Calculated values
Its crystal system is tetragonal. The symmetry is P4/mmm. The formation energy is -39 meV per atom. For the raw total energy, the calculation gives -16.6 eV/cell.

***

Below is NaZrCuTe3 after structural relaxation, with properties calculated at the GGA-PBEsol level.

Cell lengths 4.0026, 10.8503, 14.5607 Å; angles 90.00, 90.00, 90.00 degrees
Atoms (fractional coordinates):
Na 0.7500 0.9495 0.7721
Te 0.7500 0.2505 0.1426
Zr 0.2500 0.3184 0.0110
Na 0.2500 0.4495 0.7279
Cu 0.2500 0.9077 0.9920
Te 0.2500 0.5629 0.1042
Te 0.7500 0.6147 0.6071
Te 0.2500 0.7495 0.8574
Cu 0.7500 0.4077 0.5080
Zr 0.2500 0.1816 0.5110
Na 0.7500 0.5505 0.2721
Zr 0.7500 0.6816 0.9890
Te 0.7500 0.0629 0.3958
Te 0.2500 0.7505 0.3574
Te 0.2500 0.3853 0.3929
Zr 0.7500 0.8184 0.4890
Cu 0.2500 0.5923 0.4920
Cu 0.7500 0.0923 0.0080
Te 0.7500 0.8853 0.1071
Te 0.2500 0.9371 0.6042
Te 0.7500 0.4371 0.8958
Na 0.2500 0.0505 0.2279
Te 0.2500 0.1147 0.8929
Te 0.7500 0.2495 0.6426

Calculated values
As for the formation energy without anion corrections: -0.714 eV/atom. Its crystal system is orthorhombic. The symmetry is Pnma. For the raw total energy, the calculation gives -118.7 eV/cell.

***

Below is SrLi2Sn2 after structural relaxation, with properties calculated at the GGA-PBEsol level.

Cell lengths 4.5414, 4.5414, 6.9117 Å; angles 109.18, 109.18, 90.00 degrees
Atoms (fractional coordinates):
Sr 0.0000 0.0000 0.0000
Sn 0.3867 0.3867 0.7733
Li 0.7500 0.2500 0.5000
Sn 0.6133 0.6133 0.2267
Li 0.2500 0.7500 0.5000

Calculated values
The polymorph energy (0 for the lowest one) comes out at 0.0 kJ/mol of atoms. Its crystal system is tetragonal. The symmetry is I4/mmm. The formation energy is -493 meV per atom. For the raw total energy, the calculation gives -16.8 eV/cell.

***

Below is La3TcTe after structural relaxation, with properties calculated at the GGA-PBEsol level.

Cell lengths 5.8364, 5.8364, 5.8364 Å; angles 90.00, 90.00, 90.00 degrees
Each line ends with the local moment (μB).
Atoms (fractional coordinates):
Te 0.0000 0.0000 0.0000  -0.01
La 0.0000 0.0000 0.5000  -0.12
La 0.0000 0.5000 0.0000  -0.12
La 0.5000 0.0000 0.0000  -0.12
Tc 0.5000 0.5000 0.5000  3.21

Calculated values
As for the formation energy without anion corrections: 0.755 eV/atom. Its crystal system is cubic. The symmetry is Pm-3m. For the raw total energy, the calculation gives -27.1 eV/cell.

***

Below is BeAl2F after structural relaxation, with properties calculated at the GGA-PBEsol level.

Cell lengths 4.1945, 4.1945, 4.1945 Å; angles 60.00, 60.00, 60.00 degrees
Atoms (fractional coordinates):
Al 0.2500 0.2500 0.2500
Al 0.7500 0.7500 0.7500
F 0.5000 0.5000 0.5000
Be 0.0000 0.0000 0.0000

Calculated values
As for the formation energy without anion corrections: -0.265 eV/atom. Its crystal system is cubic. The symmetry is Fm-3m. For the raw total energy, the calculation gives -15.2 eV/cell.

***

Below is ZrAsBr2 after structural relaxation, with properties calculated at the GGA-PBEsol level.

Cell lengths 3.3720, 4.3317, 7.8242 Å; angles 106.07, 102.44, 90.00 degrees
Atoms (fractional coordinates):
Br 0.1558 0.1558 0.3115
Br 0.8442 0.8442 0.6885
Zr 0.5000 0.0000 0.0000
As 0.0000 0.5000 0.0000

Calculated values
As for the formation energy without anion corrections: -0.716 eV/atom. Its crystal system is orthorhombic. The symmetry is Immm. For the raw total energy, the calculation gives -20.8 eV/cell.

***

Summary of calculated volume in Å³ per cell
46, 111, 63, 75, 163, 298, 46, 632, 126, 199, 52, 107
(order as listed above)
Summary of density of states at the Fermi level in states/eV per atom
0.79, 0.39, 1.15, 0.38, 1.08, 1.05, 0.46, 0.14, 0.47, 1.99, 0.85, 0.76
(order as listed above)